w | First-principles (PBE) data for crystalline GaFeTcHg at its relaxed geometry, as listed in the Open Quantum Materials Database.

The volume is 62.1 Å³/f.u. Its total magnetic moment is 3.0 μB/f.u. Its crystal system is cubic.

The structure belongs to space group F-43m (No. 216); the cell edges are 6.2875, 6.2875 and 6.2875 Å and the angles 90.00°, 90.00° and 90.00°. The inequivalent atoms are Ga at (0.0000, 0.0000, 0.0000), Fe at (0.2500, 0.2500, 0.2500), Tc at (0.2500, 0.2500, 0.7500) and Hg at (0.0000, 0.0000, 0.5000).



x | First-principles (PBE) data for crystalline GaFeTcHg at its relaxed geometry, as listed in the Open Quantum Materials Database.

The volume is 62.9 Å³/f.u. Its total magnetic moment is 2.9 μB/f.u. Its crystal system is cubic.

The structure belongs to space group F-43m (No. 216); the cell edges are 6.3125, 6.3125 and 6.3125 Å and the angles 90.00°, 90.00° and 90.00°. The inequivalent atoms are Ga at (0.0000, 0.0000, 0.0000), Fe at (0.2500, 0.2500, 0.2500), Tc at (0.0000, 0.0000, 0.5000) and Hg at (0.2500, 0.2500, 0.7500).



It turns out w is the most stable, with the second structure 0.134 eV/atom higher.



w | First-principles (PBE) data for crystalline YGaFeHg at its relaxed geometry, as listed in the Open Quantum Materials Database.

The volume is 78.8 Å³/f.u. Its total magnetic moment is 2.3 μB/f.u. Its crystal system is cubic.

The structure belongs to space group F-43m (No. 216); the cell edges are 6.8065, 6.8065 and 6.8065 Å and the angles 90.00°, 90.00° and 90.00°. The inequivalent atoms are Y at (0.0000, 0.0000, 0.0000), Ga at (0.0000, 0.0000, 0.5000), Fe at (0.2500, 0.2500, 0.7500) and Hg at (0.2500, 0.2500, 0.2500).



x | First-principles (PBE) data for crystalline YGaFeHg at its relaxed geometry, as listed in the Open Quantum Materials Database.

The volume is 79.1 Å³/f.u. Its total magnetic moment is 2.6 μB/f.u. Its crystal system is cubic.

The structure belongs to space group F-43m (No. 216); the cell edges are 6.8131, 6.8131 and 6.8131 Å and the angles 90.00°, 90.00° and 90.00°. The inequivalent atoms are Y at (0.0000, 0.0000, 0.0000), Ga at (0.2500, 0.2500, 0.2500), Fe at (0.0000, 0.0000, 0.5000) and Hg at (0.2500, 0.2500, 0.7500).



It turns out x is the most stable, with the second structure 0.124 eV/atom higher.



w | First-principles (PBE) data for crystalline ZnGaFeHg at its relaxed geometry, as listed in the Open Quantum Materials Database.

The volume is 65.1 Å³/f.u. Its total magnetic moment is 2.3 μB/f.u. Its crystal system is cubic.

The structure belongs to space group F-43m (No. 216); the cell edges are 6.3873, 6.3873 and 6.3873 Å and the angles 90.00°, 90.00° and 90.00°. The inequivalent atoms are Zn at (0.0000, 0.0000, 0.0000), Ga at (0.2500, 0.2500, 0.2500), Fe at (0.0000, 0.0000, 0.5000) and Hg at (0.2500, 0.2500, 0.7500).



x | First-principles (PBE) data for crystalline ZnGaFeHg at its relaxed geometry, as listed in the Open Quantum Materials Database.

The volume is 64.4 Å³/f.u. Its total magnetic moment is 2.2 μB/f.u. Its crystal system is cubic.

The structure belongs to space group F-43m (No. 216); the cell edges are 6.3619, 6.3619 and 6.3619 Å and the angles 90.00°, 90.00° and 90.00°. The inequivalent atoms are Zn at (0.0000, 0.0000, 0.0000), Ga at (0.0000, 0.0000, 0.5000), Fe at (0.2500, 0.2500, 0.7500) and Hg at (0.2500, 0.2500, 0.2500).



It turns out w is the most stable, with the second structure 0.006 eV/atom higher.



w | First-principles (PBE) data for crystalline HoTmGa2Fe4 at its relaxed geometry, as listed in the Open Quantum Materials Database.

The volume is 131.5 Å³/f.u. Its total magnetic moment is 7.2 μB/f.u. Its crystal system is orthorhombic.

The structure belongs to space group Pmm2 (No. 25); the cell edges are 3.9293, 4.9286 and 6.7883 Å and the angles 90.00°, 90.00° and 90.00°. The inequivalent atoms are Ho at (0.0000, 0.0000, 0.0000), Tm at (0.0000, 0.5000, 0.3731), Ga at (0.5000, 0.0000, 0.3526), Ga at (0.5000, 0.5000, 0.0198), Fe at (0.0000, 0.0000, 0.5899), Fe at (0.0000, 0.5000, 0.7813) and Fe at (0.5000, 0.2503, 0.6857).



x | First-principles (PBE) data for crystalline HoTmGa2Fe4 at its relaxed geometry, as listed in the Open Quantum Materials Database.

The volume is 138.9 Å³/f.u. Its total magnetic moment is 7.4 μB/f.u. Its crystal system is hexagonal.

The structure belongs to space group P-6m2 (No. 187); the cell edges are 4.1828, 4.1828 and 9.1671 Å and the angles 90.00°, 90.00° and 120.00°. The inequivalent atoms are Ho at (0.0000, 0.0000, 0.0000), Tm at (0.6667, 0.3333, 0.5000), Ga at (0.3333, 0.6667, 0.2514), Fe at (0.0000, 0.0000, 0.2965) and Fe at (0.6667, 0.3333, 0.2073).



It turns out w is the most stable, with the second structure 0.161 eV/atom higher.



w | First-principles (PBE) data for crystalline GaFeIrW at its relaxed geometry, as listed in the Open Quantum Materials Database.

The volume is 57.5 Å³/f.u. Its total magnetic moment is 2.3 μB/f.u. Its crystal system is cubic.

The structure belongs to space group F-43m (No. 216); the cell edges are 6.1285, 6.1285 and 6.1285 Å and the angles 90.00°, 90.00° and 90.00°. The inequivalent atoms are Ga at (0.0000, 0.0000, 0.0000), Fe at (0.2500, 0.2500, 0.2500), Ir at (0.0000, 0.0000, 0.5000) and W at (0.2500, 0.2500, 0.7500).



x | First-principles (PBE) data for crystalline GaFeIrW at its relaxed geometry, as listed in the Open Quantum Materials Database.

The volume is 56.8 Å³/f.u. Its total magnetic moment is 1.9 μB/f.u. Its crystal system is cubic.

The structure belongs to space group F-43m (No. 216); the cell edges are 6.1013, 6.1013 and 6.1013 Å and the angles 90.00°, 90.00° and 90.00°. The inequivalent atoms are Ga at (0.0000, 0.0000, 0.0000), Fe at (0.2500, 0.2500, 0.2500), Ir at (0.2500, 0.2500, 0.7500) and W at (0.0000, 0.0000, 0.5000).



It turns out x is the most stable, with the second structure 0.176 eV/atom higher.



w | First-principles (PBE) data for crystalline KGaFe at its relaxed geometry, as listed in the Open Quantum Materials Database.

The volume is 82.7 Å³/f.u. Its total magnetic moment is 2.7 μB/f.u. Its crystal system is cubic.

The structure belongs to space group F-43m (No. 216); the cell edges are 6.9172, 6.9172 and 6.9172 Å and the angles 90.00°, 90.00° and 90.00°. The inequivalent atoms are K at (0.0000, 0.0000, 0.0000), Ga at (0.2500, 0.2500, 0.7500) and Fe at (0.0000, 0.0000, 0.5000).



x | First-principles (PBE) data for crystalline KGaFe at its relaxed geometry, as listed in the Open Quantum Materials Database.

The volume is 96.4 Å³/f.u. Its total magnetic moment is 3.0 μB/f.u. Its crystal system is cubic.

The structure belongs to space group F-43m (No. 216); the cell edges are 7.2784, 7.2784 and 7.2784 Å and the angles 90.00°, 90.00° and 90.00°. The inequivalent atoms are K at (0.0000, 0.0000, 0.0000), Ga at (0.2500, 0.2500, 0.2500) and Fe at (0.2500, 0.2500, 0.7500).



It turns out w is the most stable, with the second structure 0.411 eV/atom higher.



w | First-principles (PBE) data for crystalline LiGaFeTe at its relaxed geometry, as listed in the Open Quantum Materials Database.

The volume is 75.5 Å³/f.u. Its total magnetic moment is 2.4 μB/f.u. Its crystal system is cubic.

The structure belongs to space group F-43m (No. 216); the cell edges are 6.7080, 6.7080 and 6.7080 Å and the angles 90.00°, 90.00° and 90.00°. The inequivalent atoms are Li at (0.0000, 0.0000, 0.0000), Ga at (0.0000, 0.0000, 0.5000), Fe at (0.2500, 0.2500, 0.7500) and Te at (0.2500, 0.2500, 0.2500).



x | First-principles (PBE) data for crystalline LiGaFeTe at its relaxed geometry, as listed in the Open Quantum Materials Database.

The volume is 61.3 Å³/f.u. Its total magnetic moment is 0.0 μB/f.u. Its crystal system is cubic.

The structure belongs to space group F-43m (No. 216); the cell edges are 6.2589, 6.2589 and 6.2589 Å and the angles 90.00°, 90.00° and 90.00°. The inequivalent atoms are Li at (0.0000, 0.0000, 0.0000), Ga at (0.2500, 0.2500, 0.7500), Fe at (0.0000, 0.0000, 0.5000) and Te at (0.2500, 0.2500, 0.2500).



It turns out x is the most stable, with the second structure 0.262 eV/atom higher.



w | First-principles (PBE) data for crystalline LiGaFeW at its relaxed geometry, as listed in the Open Quantum Materials Database.

The volume is 49.5 Å³/f.u. Its total magnetic moment is 0.0 μB/f.u. Its crystal system is cubic.

The structure belongs to space group F-43m (No. 216); the cell edges are 5.8296, 5.8296 and 5.8296 Å and the angles 90.00°, 90.00° and 90.00°. The inequivalent atoms are Li at (0.0000, 0.0000, 0.0000), Ga at (0.2500, 0.2500, 0.2500), Fe at (0.0000, 0.0000, 0.5000) and W at (0.2500, 0.2500, 0.7500).



x | First-principles (PBE) data for crystalline LiGaFeW at its relaxed geometry, as listed in the Open Quantum Materials Database.

The volume is 53.7 Å³/f.u. Its total magnetic moment is 3.1 μB/f.u. Its crystal system is cubic.

The structure belongs to space group F-43m (No. 216); the cell edges are 5.9902, 5.9902 and 5.9902 Å and the angles 90.00°, 90.00° and 90.00°. The inequivalent atoms are Li at (0.0000, 0.0000, 0.0000), Ga at (0.0000, 0.0000, 0.5000), Fe at (0.2500, 0.2500, 0.7500) and W at (0.2500, 0.2500, 0.2500).



It turns out w is the most stable, with the second structure 0.531 eV/atom higher.